# 1
This record from the Alexandria database describes crystalline K3Tl7Pd4 at its relaxed geometry. The functional is PBE-GGA.

- Calculated formation energy: -0.141 eV/atom

Lattice parameters (Å, degrees): 18.0383 4.7417 10.6328 90.00 123.66 90.00
Space group C2/m (No. 12)
Asymmetric unit:
K (0.0000, 0.0000, 0.0000)
K (0.1855, 0.5000, 0.6911)
Tl (0.0000, 0.0000, 0.5000)
Tl (0.0003, 0.5000, 0.2698)
Tl (0.1652, 0.0000, 0.4289)
Tl (0.1916, 0.5000, 0.0420)
Pd (0.1169, 0.0000, 0.8337)
Pd (0.1613, 0.5000, 0.2801)

# 2
This record from the Alexandria database describes crystalline Mn2NbBPb at its relaxed geometry. The functional is PBE-GGA.

- Calculated formation energy: 1.940 eV/atom

Lattice parameters (Å, degrees): 4.7275 4.7275 5.5058 90.00 90.00 90.00
Space group P4/mmm (No. 123)
Asymmetric unit:
Mn (0.0000, 0.5000, 0.0000)
Nb (0.0000, 0.0000, 0.0000)
B (0.5000, 0.5000, 0.5000)
Pb (0.0000, 0.0000, 0.5000)

# 3
This record from the Alexandria database describes crystalline FeSICl2 at its relaxed geometry. The functional is PBE-GGA.

- Offset from the most stable computed form: 0.00 eV per formula unit
- Raw formation energy: 0.08 eV/atom

Lattice parameters (Å, degrees): 4.6644 4.6644 4.5830 90.00 90.00 90.00
Space group P4/mmm (No. 123)
Asymmetric unit:
Fe (0.0000, 0.0000, 0.0000)
S (0.0000, 0.0000, 0.5000)
I (0.5000, 0.5000, 0.5000)
Cl (0.0000, 0.5000, 0.0000)